ZnReGe | Alexandria via LeMat-Bulk | PBE | relaxed; calculated volume = 17.86 Å³ per atom; E_form = 1.41 eV per formula unit; energy = -5.6427 eV per atom; crystal system = trigonal; total moment = 0.00 μB/cell
1.0
1.9753 1.1404 7.9281
-1.9753 1.1404 7.9281
0.0000 -2.2809 7.9281
Zn Re Ge
2 2 2
Cartesian
0.0000 0.0000 3.1482
0.0000 0.0000 20.6363
0.0000 0.0000 7.3589
0.0000 0.0000 16.4255
0.0000 0.0000 9.9445
0.0000 0.0000 13.8400

***

La5Tb2Ho3 | Alexandria via LeMat-Bulk | PBE | relaxed; calculated volume = 34.91 Å³ per atom; E_form = 1.61 eV per formula unit; energy = -4.6017 eV per atom; crystal system = monoclinic; total moment = 0.00 μB/cell
1.0
5.4491 -7.4327 0.0000
5.4491 7.4327 0.0000
-5.4345 0.0000 8.6184
La Tb Ho
10 4 6
Cartesian
1.3732 7.1789 6.4638
-1.3559 1.9398 6.5080
1.3732 4.0718 6.4638
1.3614 -1.9398 2.1988
4.0904 0.3585 2.1546
1.3732 -0.3585 6.4638
4.1023 1.9398 6.4196
4.0904 -4.0718 2.1546
6.8195 -1.9398 2.1104
4.0904 -7.1789 2.1546
1.3625 1.9283 0.5352
-1.3548 -1.9283 4.8444
6.8184 1.9283 3.7740
4.1011 -1.9283 8.0832
1.3807 1.8766 3.8088
4.0904 3.4293 2.1546
-1.3366 -1.8766 8.1180
6.8002 1.8766 0.5004
1.3732 -3.4293 6.4638
4.0830 -1.8766 4.8096

***

La2TlSn2 | Alexandria via LeMat-Bulk | PBE | relaxed; calculated volume = 37.46 Å³ per atom; E_form = -0.97 eV per formula unit; energy = -4.2384 eV per atom; crystal system = tetragonal; total moment = 0.00 μB/cell
1.0
5.4013 0.0000 0.0000
0.0000 5.4013 0.0000
0.0000 0.0000 12.8410
La Tl Sn
4 2 4
Cartesian
0.0000 2.7006 3.2102
0.0000 2.7006 9.6307
2.7006 0.0000 3.2102
2.7006 0.0000 9.6307
0.0000 0.0000 0.0000
2.7006 2.7006 6.4205
0.0000 0.0000 5.0300
0.0000 0.0000 7.8110
2.7006 2.7006 1.3905
2.7006 2.7006 11.4505

***

Rb3HfTe3 | Alexandria via LeMat-Bulk | PBE | relaxed; calculated volume = 45.59 Å³ per atom; energy = -4.1230 eV per atom; crystal system = monoclinic; formation energy (no corrections) = -0.940 eV per atom; total moment = 0.00 μB/cell
1.0
4.8865 -7.4665 0.0000
4.8865 7.4665 0.0000
-2.4607 0.0000 8.7473
Rb Hf Te
6 2 6
Cartesian
4.8865 4.9455 0.0000
3.6562 3.3887 4.3737
3.5413 0.0000 1.1554
3.7710 0.0000 7.5919
3.6562 -3.3887 4.3737
4.8865 -4.9455 0.0000
-0.1437 0.0000 5.5666
7.4561 0.0000 3.1807
0.4665 0.0000 2.8315
0.8952 2.2503 6.7958
0.8952 -2.2503 6.7958
6.4171 2.2503 1.9515
6.4171 -2.2503 1.9515
6.8458 0.0000 5.9158

***

Which value of total moment does entry 2 give? 0.00 μB/cell